[1]
ErGaTe2O8 | GGA-PBE | optimized geometry

Calculated values
size of the total moment = 0.0 Bohr magnetons per cell
ΔE_f (raw) = -1422 meV/atom
electronic total energy = -0.4324 Ry per atom

a = 6.933 Å, b = 6.933 Å, c = 7.043 Å
α = 90.00°, β = 90.00°, γ = 90.00°
Space group I-4m2 (No. 119)
Asymmetric unit:
Er (0.000, 0.000, 0.000) (multiplicity 2)
Ga (0.000, 0.500, 0.250) (multiplicity 2)
Te (0.000, 0.000, 0.500) (multiplicity 2)
Te (0.000, 0.500, 0.750) (multiplicity 2)
O (0.000, 0.211, 0.293) (multiplicity 8)
O (0.000, 0.310, 0.931) (multiplicity 8)


[2]
ErGa2TeO8 | GGA-PBE | optimized geometry

Calculated values
size of the total moment = 2.2 Bohr magnetons per cell
ΔE_f (raw) = -1553 meV/atom
electronic total energy = -0.4414 Ry per atom

a = 6.730 Å, b = 6.730 Å, c = 6.563 Å
α = 90.00°, β = 90.00°, γ = 90.00°
Space group I-4m2 (No. 119)
Asymmetric unit:
Er (0.000, 0.000, 0.000) (multiplicity 2)
Ga (0.000, 0.000, 0.500) (multiplicity 2)
Ga (0.000, 0.500, 0.250) (multiplicity 2)
Te (0.000, 0.500, 0.750) (multiplicity 2)
O (0.000, 0.200, 0.696) (multiplicity 8)
O (0.000, 0.325, 0.035) (multiplicity 8)


[3]
ErTl3Ga2O6 | GGA-PBE | optimized geometry

Calculated values
size of the total moment = 0.0 Bohr magnetons per cell
ΔE_f (raw) = -1586 meV/atom
electronic total energy = -0.4073 Ry per atom

a = 6.1256 Å, b = 6.1256 Å, c = 7.2852 Å
α = 90.00°, β = 90.00°, γ = 120.00°
Space group P-3m1 (No. 164)
Asymmetric unit:
Er (0.0000, 0.0000, 0.0000) (multiplicity 1)
Tl (0.0000, 0.0000, 0.5000) (multiplicity 1)
Tl (0.3333, 0.6667, 0.2588) (multiplicity 2)
Ga (0.3333, 0.6667, 0.8091) (multiplicity 2)
O (0.1653, 0.3306, 0.8063) (multiplicity 6)


[4]
Er4TlGaO | GGA-PBE | optimized geometry

Calculated values
size of the total moment = 0.0 Bohr magnetons per cell
ΔE_f (raw) = -1107 meV/atom
electronic total energy = -0.3817 Ry per atom

a = 6.412 Å, b = 16.046 Å, c = 6.428 Å
α = 90.00°, β = 90.00°, γ = 90.00°
Space group Cmcm (No. 63)
Asymmetric unit:
Er (0.000, 0.068, 0.250) (multiplicity 4)
Er (0.000, 0.417, 0.250) (multiplicity 4)
Er (0.250, 0.250, 0.000) (multiplicity 8)
Tl (0.000, 0.392, 0.750) (multiplicity 4)
Ga (0.000, 0.117, 0.750) (multiplicity 4)
O (0.000, 0.263, 0.250) (multiplicity 4)


[5]
ErUGaO6 | GGA-PBE | optimized geometry

Calculated values
size of the total moment = 0.0 Bohr magnetons per cell
ΔE_f (raw) = -2851 meV/atom
electronic total energy = -0.6067 Ry per atom

a = 5.3304 Å, b = 5.3304 Å, c = 9.7771 Å
α = 90.00°, β = 90.00°, γ = 120.00°
Space group P-31c (No. 163)
Asymmetric unit:
Er (0.0000, 0.0000, 0.0000) (multiplicity 2)
U (0.3333, 0.6667, 0.2500) (multiplicity 2)
Ga (0.3333, 0.6667, 0.7500) (multiplicity 2)
O (0.0103, 0.3531, 0.6365) (multiplicity 12)